A plane-wave DFT calculation with SCAN was carried out for a PBEsol-optimized structure of ZrCo4Au.

## Properties
symmetry = F-43m (216)
density of states at the Fermi level = 6.5 states/eV/f.u.
E_tot = -170.35 eV per formula unit
crystal system = cubic

Cell: 4.7755 4.7755 4.7755 Å, 60.00 60.00 60.00°
Fractional positions:
Au 0.0000 0.0000 0.0000
Co 0.3745 0.3745 0.3745
Co 0.3745 0.3745 0.8766
Co 0.8766 0.3745 0.3745
Co 0.3745 0.8766 0.3745
Zr 0.7500 0.7500 0.7500

=====

A plane-wave DFT calculation with SCAN was carried out for a PBEsol-optimized structure of ZrCoAu2.

## Properties
symmetry = Pmmm (47)
density of states at the Fermi level = 2.2 states/eV/f.u.
E_tot = -187.57 eV per formula unit
crystal system = orthorhombic

Cell: 2.9372 3.7131 5.9832 Å, 90.00 90.00 90.00°
Fractional positions:
Au 0.0000 0.0000 0.7752
Au 0.0000 0.0000 0.2248
Co 0.5000 0.5000 0.0000
Zr 0.5000 0.5000 0.5000

=====

A plane-wave DFT calculation with SCAN was carried out for a PBEsol-optimized structure of Zr2Co2Au.

## Properties
symmetry = P4/mbm (127)
density of states at the Fermi level = 5.4 states/eV/f.u.
E_tot = -167.26 eV per formula unit
crystal system = tetragonal

Cell: 3.2876 6.8757 6.8757 Å, 90.00 90.00 90.00°
Fractional positions:
Co 0.0000 0.3708 0.8708
Co 0.0000 0.8708 0.6292
Co 0.0000 0.6292 0.1292
Co 0.0000 0.1292 0.3708
Au 0.0000 0.0000 0.0000
Au 0.0000 0.5000 0.5000
Zr 0.5000 0.1703 0.6703
Zr 0.5000 0.6703 0.8297
Zr 0.5000 0.8297 0.3297
Zr 0.5000 0.3297 0.1703

=====

A plane-wave DFT calculation with SCAN was carried out for a PBEsol-optimized structure of ZrCo3Au.

## Properties
symmetry = Pm-3m (221)
density of states at the Fermi level = 2.6 states/eV/f.u.
E_tot = -144.31 eV per formula unit
crystal system = cubic

Cell: 4.3784 4.3784 4.3784 Å, 90.00 90.00 90.00°
Fractional positions:
Co 0.0000 0.5000 0.0000
Co 0.0000 0.0000 0.5000
Co 0.5000 0.0000 0.0000
Au 0.5000 0.5000 0.5000
Zr 0.0000 0.0000 0.0000

=====

A plane-wave DFT calculation with SCAN was carried out for a PBEsol-optimized structure of Cr3Au.

## Properties
symmetry = P4/mmm (123)
density of states at the Fermi level = 3.2 states/eV/f.u.
E_tot = -123.40 eV per formula unit
crystal system = tetragonal

Cell: 3.0393 3.0355 5.5520 Å, 90.00 90.00 90.00°
Fractional positions:
Au 0.0000 0.0000 0.0000
Cr 0.0000 0.0000 0.5000
Cr 0.5000 0.5000 0.3017
Cr 0.5000 0.5000 0.6983

=====

A plane-wave DFT calculation with SCAN was carried out for a PBEsol-optimized structure of CrAu5.

## Properties
symmetry = Amm2 (38)
density of states at the Fermi level = 2.0 states/eV/f.u.
E_tot = -364.47 eV per formula unit
crystal system = orthorhombic

Cell: 2.9822 4.6664 7.3256 Å, 90.00 101.74 90.00°
Fractional positions:
Cr 0.1143 0.5000 0.2287
Au 0.9984 0.0000 0.9968
Au 0.3303 0.0000 0.6605
Au 0.6625 0.0000 0.3249
Au 0.4515 0.5000 0.9030
Au 0.7764 0.5000 0.5528

=====

A plane-wave DFT calculation with SCAN was carried out for a PBEsol-optimized structure of CrAu8.

## Properties
symmetry = I4/mmm (139)
density of states at the Fermi level = 2.9 states/eV/f.u.
E_tot = -572.27 eV per formula unit
crystal system = tetragonal

Cell: 4.0410 6.4193 6.4193 Å, 84.31 71.65 71.65°
Fractional positions:
Au 0.0000 0.3304 0.6696
Au 0.0000 0.6696 0.3304
Au 0.6696 0.3304 0.3304
Au 0.6634 0.6733 0.0000
Au 0.6634 0.0000 0.6733
Au 0.3304 0.6696 0.6696
Au 0.3366 0.0000 0.3267
Au 0.3366 0.3267 0.0000
Cr 0.0000 0.0000 0.0000

=====

A plane-wave DFT calculation with SCAN was carried out for a PBEsol-optimized structure of Cr5Au.

## Properties
symmetry = P6/mmm (191)
density of states at the Fermi level = 2.6 states/eV/f.u.
E_tot = -158.30 eV per formula unit
crystal system = hexagonal

Cell: 3.8698 4.7744 4.7744 Å, 120.00 90.00 90.00°
Fractional positions:
Au 0.0000 0.0000 0.0000
Cr 0.5000 0.0000 0.5000
Cr 0.0000 0.6667 0.3333
Cr 0.5000 0.5000 0.5000
Cr 0.5000 0.5000 0.0000
Cr 0.0000 0.3333 0.6667

=====

A plane-wave DFT calculation with SCAN was carried out for a PBEsol-optimized structure of CrAu7.

## Properties
symmetry = Fm-3m (225)
density of states at the Fermi level = 1.8 states/eV/f.u.
E_tot = -502.94 eV per formula unit
crystal system = cubic

Cell: 5.7354 5.7354 5.7354 Å, 60.00 60.00 60.00°
Fractional positions:
Au 0.5000 0.0000 0.0000
Au 0.5000 0.5000 0.0000
Au 0.0000 0.5000 0.0000
Au 0.5000 0.0000 0.5000
Au 0.0000 0.0000 0.5000
Au 0.0000 0.5000 0.5000
Au 0.5000 0.5000 0.5000
Cr 0.0000 0.0000 0.0000

=====

A plane-wave DFT calculation with SCAN was carried out for a PBEsol-optimized structure of CrAu5.

## Properties
symmetry = Cm (8)
density of states at the Fermi level = 2.1 states/eV/f.u.
E_tot = -364.48 eV per formula unit
crystal system = monoclinic

Cell: 3.0527 5.4196 6.6055 Å, 107.08 90.00 106.36°
Fractional positions:
Cr 0.7138 0.4275 0.9284
Au 0.0104 0.0207 0.0137
Au 0.3777 0.7553 0.2540
Au 0.6751 0.3501 0.3455
Au 0.0516 0.1033 0.6027
Au 0.3381 0.6763 0.6890

=====

A plane-wave DFT calculation with SCAN was carried out for a PBEsol-optimized structure of CsCrAu3.

## Properties
symmetry = Pm-3m (221)
density of states at the Fermi level = 5.5 states/eV/f.u.
E_tot = -255.72 eV per formula unit
crystal system = cubic

Cell: 5.6971 5.6971 5.6971 Å, 90.00 90.00 90.00°
Fractional positions:
Cs 0.0000 0.0000 0.0000
Cr 0.5000 0.5000 0.5000
Au 0.0000 0.5000 0.0000
Au 0.0000 0.0000 0.5000
Au 0.5000 0.0000 0.0000

=====

A plane-wave DFT calculation with SCAN was carried out for a PBEsol-optimized structure of Cr2CuAu.

## Properties
symmetry = P4mm (99)
density of states at the Fermi level = 1.4 states/eV/f.u.
E_tot = -121.34 eV per formula unit
crystal system = tetragonal

Cell: 3.0420 3.0420 5.7024 Å, 90.00 90.00 90.00°
Fractional positions:
Au 0.5000 0.5000 0.7415
Cr 0.0000 0.0000 0.0365
Cr 0.5000 0.5000 0.2373
Cu 0.0000 0.0000 0.4847

=====

Among the records above, which one has the highest E_tot? Cr2CuAu